Entry 1:
Below is a relaxed Ta2Tl2Pt crystal, with properties calculated at the PBE level.

a = 8.3154 Å, b = 8.3154 Å, c = 8.3154 Å
α = 154.12°, β = 154.12°, γ = 36.93°
Last column: nearest neighbours and their distance in Å.
Fractional positions:
Ta: 0.2500 0.7500 0.5000  4 Ta 2.63
Ta: 0.7500 0.2500 0.5000  4 Ta 2.63
Tl: 0.5939 0.5939 0.0000  1 Tl 2.96, 4 Pt 3.02, 4 Ta 3.09
Tl: 0.4061 0.4061 0.0000  1 Tl 2.96, 4 Pt 3.02, 4 Ta 3.09
Pt: 0.0000 0.0000 0.0000  8 Tl 3.02

## Properties
Formation energy from the elements (eV per atom): 0.7376

=====

Entry 2:
Below is a relaxed TaTl2Pt crystal, with properties calculated at the PBE level.

a = 5.8539 Å, b = 5.8539 Å, c = 5.8539 Å
α = 149.47°, β = 125.75°, γ = 63.53°
Last column: nearest neighbours and their distance in Å.
Fractional positions:
Pt: 0.7500 0.2500 0.5000  4 Tl 2.83, 4 Ta 3.08, 2 Pt 3.08
Ta: 0.2500 0.7500 0.5000  4 Tl 3.02, 4 Pt 3.08, 2 Ta 3.08
Tl: 0.9889 0.9889 0.0000  2 Pt 2.83, 2 Ta 3.02, 6 Tl 3.08-3.09
Tl: 0.5111 0.5111 0.0000  2 Pt 2.83, 2 Ta 3.02, 6 Tl 3.08-3.09

## Properties
ΔE to the lowest computed polymorph (meV per atom): 346
Formation energy from the elements (eV per atom): 0.3858

=====

Entry 3:
Below is a relaxed TaTl2Pt crystal, with properties calculated at the PBE level.

a = 10.0592 Å, b = 10.0592 Å, c = 10.0592 Å
α = 18.31°, β = 18.31°, γ = 18.31°
Last column: nearest neighbours and their distance in Å.
Fractional positions:
Pt: 0.4914 0.4914 0.4914  3 Ta 2.67
Ta: 0.7597 0.7597 0.7597  3 Pt 2.67
Tl: 0.0069 0.0069 0.0069  3 Ta 3.15, 9 Tl 3.20-3.45
Tl: 0.2421 0.2421 0.2421  3 Pt 3.10, 9 Tl 3.20-3.45

## Properties
ΔE to the lowest computed polymorph (meV per atom): 122
Formation energy from the elements (eV per atom): 0.1614

=====

Entry 4:
Below is a relaxed TaTl2Pt crystal, with properties calculated at the PBE level.

a = 9.5086 Å, b = 9.5086 Å, c = 9.5086 Å
α = 19.18°, β = 19.18°, γ = 19.18°
Last column: nearest neighbours and their distance in Å.
Fractional positions:
Pt: 0.2500 0.2500 0.2500  6 Tl 2.89, 6 Pt 3.17
Ta: 0.7500 0.7500 0.7500  6 Tl 3.04, 6 Ta 3.17
Tl: 0.9965 0.9965 0.9965  3 Pt 2.89, 3 Ta 3.04, 6 Tl 3.17
Tl: 0.5035 0.5035 0.5035  3 Pt 2.89, 3 Ta 3.04, 6 Tl 3.17

## Properties
ΔE to the lowest computed polymorph (meV per atom): 380
Formation energy from the elements (eV per atom): 0.4198

=====

Entry 5:
Below is a relaxed TaTlPt2 crystal, with properties calculated at the PBE level.

a = 4.9850 Å, b = 4.9850 Å, c = 4.9741 Å
α = 130.06°, β = 130.06°, γ = 73.47°
Last column: nearest neighbours and their distance in Å.
Fractional positions:
Pt: 0.0000 0.0000 0.0000  4 Tl 2.90, 4 Pt 2.90, 4 Ta 2.96-2.98
Pt: 0.7500 0.2500 0.5000  4 Ta 2.90, 4 Pt 2.90, 4 Tl 2.96-2.98
Ta: 0.5000 0.5000 0.0000  8 Pt 2.90-2.98, 4 Tl 2.90
Tl: 0.2500 0.7500 0.5000  8 Pt 2.90-2.98, 4 Ta 2.90

## Properties
Formation energy from the elements (eV per atom): -0.0571

=====

Entry 6:
Below is a relaxed TaTl2Pt crystal, with properties calculated at the PBE level.

a = 5.6955 Å, b = 5.6955 Å, c = 5.6955 Å
α = 137.46°, β = 137.46°, γ = 61.72°
Last column: nearest neighbours and their distance in Å.
Fractional positions:
Pt: 0.2500 0.7500 0.5000  4 Ta 2.92, 8 Tl 3.20
Ta: 0.7500 0.2500 0.5000  4 Pt 2.92, 8 Tl 3.20
Tl: 0.0000 0.0000 0.0000  4 Tl 2.92, 4 Ta 3.20, 4 Pt 3.20
Tl: 0.5000 0.5000 0.0000  4 Tl 2.92, 4 Ta 3.20, 4 Pt 3.20

## Properties
ΔE to the lowest computed polymorph (meV per atom): 524
Formation energy from the elements (eV per atom): 0.5634

=====

Which of these has the highest formation energy from the elements? Ta2Tl2Pt

=====

The highest formation energy from the elements belongs to which entry? Ta2Tl2Pt

=====

Copy entry 4 word for word.
Below is a relaxed TaTl2Pt crystal, with properties calculated at the PBE level.

a = 9.5086 Å, b = 9.5086 Å, c = 9.5086 Å
α = 19.18°, β = 19.18°, γ = 19.18°
Last column: nearest neighbours and their distance in Å.
Fractional positions:
Pt: 0.2500 0.2500 0.2500  6 Tl 2.89, 6 Pt 3.17
Ta: 0.7500 0.7500 0.7500  6 Tl 3.04, 6 Ta 3.17
Tl: 0.9965 0.9965 0.9965  3 Pt 2.89, 3 Ta 3.04, 6 Tl 3.17
Tl: 0.5035 0.5035 0.5035  3 Pt 2.89, 3 Ta 3.04, 6 Tl 3.17

## Properties
ΔE to the lowest computed polymorph (meV per atom): 380
Formation energy from the elements (eV per atom): 0.4198

=====

What is the formula in the third record? TaTl2Pt